# P2RuBr

Crystalline P2RuBr at its relaxed geometry (PBE-GGA, Alexandria via LeMat-Bulk).

Output
For the total magnetization, the calculation gives 0.000 Bohr magnetons per cell. The value obtained for the energy is -5.381 eV per atom. The crystal system is orthorhombic. The space group is Imm2, No. 44.

The structure in POSCAR format:
```
P2RuBr
1.0
-6.0719 -4.0480 -1.1388
-2.2071 -6.9693 -1.0527
3.8122 5.2793 3.4852
Br P Ru
1 2 1
Direct
0.3433 0.8433 0.5000
0.0308 0.0308 0.0000
0.6310 0.1310 0.5000
0.4949 0.4949 0.0000
```

=====

# PRuBr2

Crystalline PRuBr2 at its relaxed geometry (PBE-GGA, Alexandria via LeMat-Bulk).

Output
For the total magnetization, the calculation gives 0.000 Bohr magnetons per cell. The value obtained for the energy is -3.386 eV per atom. The crystal system is orthorhombic. The space group is Cmmm, No. 65.

The structure in POSCAR format:
```
PRuBr2
1.0
4.7122 0.0051 0.0000
-0.0157 4.7121 0.0000
0.0000 0.0000 3.2684
Br P Ru
2 1 1
Direct
0.0000 0.0000 0.0000
0.5000 0.5000 0.0000
0.5000 0.0000 0.5000
0.0000 0.5000 0.5000
```

=====

# PRuBr2

Crystalline PRuBr2 at its relaxed geometry (PBE-GGA, Alexandria via LeMat-Bulk).

Output
For the total magnetization, the calculation gives 0.000 Bohr magnetons per cell. The value obtained for the energy is -3.575 eV per atom. The crystal system is trigonal. The space group is R-3m, No. 166.

The structure in POSCAR format:
```
PRuBr2
1.0
0.2168 5.4034 7.7685
3.2306 4.5109 7.6687
2.2652 6.9805 5.9779
Ru Br P
1 2 1
Direct
0.0000 0.0000 0.0000
0.9149 0.9149 0.9149
0.0851 0.0851 0.0851
0.5000 0.5000 0.5000
```

=====

# P2RuBr

Crystalline P2RuBr at its relaxed geometry (PBE-GGA, Alexandria via LeMat-Bulk).

Output
For the total magnetization, the calculation gives 0.000 Bohr magnetons per cell. The value obtained for the energy is -5.524 eV per atom. The crystal system is monoclinic. The space group is Cm, No. 8.

The structure in POSCAR format:
```
P2RuBr
1.0
4.1627 0.0045 -0.0085
2.7336 3.1394 -0.0085
2.3454 1.0692 7.0792
Br P Ru
1 2 1
Direct
0.1618 0.1618 0.3302
0.9647 0.9647 0.8737
0.8220 0.8220 0.6841
0.5515 0.5515 0.6120
```

=====

# PRuBr2

Crystalline PRuBr2 at its relaxed geometry (PBE-GGA, Alexandria via LeMat-Bulk).

Output
For the total magnetization, the calculation gives 1.308 Bohr magnetons per cell. The value obtained for the energy is -3.542 eV per atom. The crystal system is orthorhombic. The space group is Pmmm, No. 47.

The structure in POSCAR format:
```
PRuBr2
1.0
3.1489 0.0000 0.0000
0.0000 5.8231 0.0000
0.0000 0.0000 4.3295
Br P Ru
2 1 1
Direct
0.0000 0.0000 0.0000
0.5000 0.5000 0.0000
0.5000 0.0000 0.5000
0.0000 0.5000 0.5000
```

=====

# PRuBr2

Crystalline PRuBr2 at its relaxed geometry (PBE-GGA, Alexandria via LeMat-Bulk).

Output
For the total magnetization, the calculation gives 0.567 Bohr magnetons per cell. The value obtained for the energy is -4.365 eV per atom. The crystal system is tetragonal. The space group is I-42d, No. 122.

The structure in POSCAR format:
```
PRuBr2
1.0
-0.6789 -8.1275 5.0005
9.5423 -0.5397 0.4182
4.4148 -3.1706 4.5974
Ru Br P
2 4 2
Direct
0.0000 0.0000 0.0000
0.7500 0.2500 0.5000
0.7779 0.1250 0.2500
0.9721 0.6250 0.2500
0.3750 0.2221 0.7500
0.8750 0.0279 0.7500
0.5000 0.5000 0.0000
0.2500 0.7500 0.5000
```

=====

| no. | uncorrected formation energy (meV/atom) |
| --- | --- |
| 1 | 61 |
| 2 | 1122 |
| 3 | 933 |
| 4 | -82 |
| 5 | 965 |
| 6 | 143 |